The following is a DFT calculation (PBE) of a relaxed structure of La2CdMo.

a = 10.2453 Å, b = 10.2453 Å, c = 10.2453 Å
α = 19.69°, β = 19.69°, γ = 19.69°
Sites, in units of the cell vectors:
La 0.7675 0.7675 0.7675
La 0.9952 0.9952 0.9952
Mo 0.5008 0.5008 0.5008
Cd 0.2364 0.2364 0.2364

Results
Its energy of formation from the pure elements is 467 meV per atom. For the total energy, the calculation gives -4.933 eV per atom.